No. 1
RhW4 PBE optimized geometry; energy above the most stable polymorph in this dataset = 2054.4 meV/atom; SG = Pm-3m; energy of formation from the pure elements = 2.1941 eV per atom
1.0
4.632 0.000 0.000
0.000 4.632 0.000
0.000 0.000 4.632
Rh W
1 4
Direct
0.000 0.000 0.000 Rh
0.000 0.000 0.500 W
0.000 0.500 0.000 W
0.500 0.000 0.000 W
0.500 0.500 0.500 W


No. 2
Li2InW PBE optimized geometry; SG = Pmm2; energy of formation from the pure elements = 0.4428 eV per atom
1.0
2.758 0.000 0.000
0.000 4.289 0.000
0.000 0.000 5.894
Li In W
2 1 1
Direct
0.000 0.000 0.000 Li
0.500 0.500 0.241 Li
0.500 0.500 0.726 In
0.000 0.000 0.486 W


No. 3
Rb2ThZnS4 PBE optimized geometry; formation energy without anion corrections = -1.28 eV per atom; SG = C2/c
1.0
5.709 -6.252 0.000
5.709 6.252 0.000
-5.107 0.000 6.808
Rb Th Zn S
4 2 2 8
Direct
0.000 0.000 0.000 Rb
0.000 0.000 0.500 Rb
0.000 0.500 0.000 Rb
0.500 0.000 0.500 Rb
0.500 0.500 0.000 Th
0.500 0.500 0.500 Th
0.000 0.500 0.500 Zn
0.500 0.000 0.000 Zn
0.206 0.665 0.478 S
0.305 0.307 0.089 S
0.307 0.305 0.589 S
0.335 0.794 0.022 S
0.665 0.206 0.978 S
0.693 0.695 0.411 S
0.695 0.693 0.911 S
0.794 0.335 0.522 S


No. 4
Li3SmCd4 PBE optimized geometry; SG = R-3m; energy of formation from the pure elements = -0.2330 eV per atom
1.0
2.409 1.391 8.534
-2.409 1.391 8.534
0.000 -2.782 8.534
Li Sm Cd
3 1 4
Direct
0.000 0.000 0.000 Li
0.256 0.256 0.256 Li
0.744 0.744 0.744 Li
0.500 0.500 0.500 Sm
0.107 0.107 0.107 Cd
0.372 0.372 0.372 Cd
0.628 0.628 0.628 Cd
0.893 0.893 0.893 Cd


No. 5
Tm2AlSn PBE optimized geometry; SG = P4/mmm; energy of formation from the pure elements = -0.4702 eV per atom
1.0
4.762 0.000 0.000
0.000 4.762 0.000
0.000 0.000 4.257
Tm Al Sn
2 1 1
Direct
0.000 0.500 0.000 Tm
0.500 0.000 0.000 Tm
0.000 0.000 0.500 Al
0.500 0.500 0.500 Sn


No. 6
HfGaTc PBE optimized geometry; energy above the most stable polymorph in this dataset = 3.0 meV/atom; SG = I4mm; energy of formation from the pure elements = -0.4584 eV per atom
1.0
-1.688 1.688 4.440
1.688 -1.688 4.440
1.688 1.688 -4.440
Hf Ga Tc
1 1 1
Direct
0.000 0.000 0.000 Hf
0.683 0.683 0.000 Ga
0.336 0.336 0.000 Tc